# NpIn2Pd4

An optimized crystal structure of NpIn2Pd4 (GGA-PBE, Alexandria).

N(E_F) (states/eV/f.u.): 11.26
ΔE_f (eV/f.u.): -2.36
Total DFT energy (no corrections) (eV per atom): -5.9350

abc: 5.791 7.354 7.716
angles: 113.80 111.14 93.84
Space group P1 (No. 1)
One atom of each set of equivalent atoms:
Np 0.000 0.000 0.000 x1
Np 0.084 0.813 0.525 x1
In 0.195 0.371 0.752 x1
In 0.420 0.455 0.341 x1
In 0.635 0.000 0.259 x1
In 0.742 0.316 0.829 x1
Pd 0.151 0.678 0.128 x1
Pd 0.288 0.117 0.432 x1
Pd 0.443 0.155 0.969 x1
Pd 0.463 0.740 0.821 x1
Pd 0.614 0.886 0.564 x1
Pd 0.647 0.596 0.141 x1
Pd 0.854 0.601 0.700 x1
Pd 0.940 0.358 0.324 x1